# Ir2RuPt

A relaxed structure of Ir2RuPt (PBEsol, the Alexandria database).

Properties
**Volume**: 14.07 A^3/atom
**DOS at the Fermi energy**: 3.78 states/eV per cell
**Crystal system**: monoclinic
**Raw total energy**: -9.1849 eV per atom
**Energy of formation from the pure elements**: 11 meV per atom
**Symmetry**: C2/m

a b c (Å): 2.707 4.691 4.697
angles (deg): 99.51 106.75 90.00
Fractional positions:
Ir: 0.746 0.743 0.492
Ir: 0.254 0.257 0.508
Pt: 0.500 0.000 0.000
Ru: 0.000 0.500 0.000